! Zr2Ge2Pt, relaxed, DFT PBE; values from VASP
&SYSTEM
  ibrav = 0, nat = 10, ntyp = 3
/
ATOMIC_SPECIES
Ge 72.64 Ge.upf
Zr 91.22 Zr.upf
Pt 195.08 Pt.upf
CELL_PARAMETERS angstrom
6.661 0.000 0.000
0.000 6.661 0.000
0.000 0.000 4.220
ATOMIC_POSITIONS crystal
Ge 0.366 0.866 0.000
Ge 0.866 0.634 0.000
Ge 0.634 0.134 0.000
Ge 0.134 0.366 0.000
Zr 0.171 0.671 0.500
Zr 0.671 0.829 0.500
Zr 0.829 0.329 0.500
Zr 0.329 0.171 0.500
Pt 0.000 0.000 0.000
Pt 0.500 0.500 0.000
! crystal system	tetragonal
! energy	-73.04	eV for the cell shown

***

! NaTiSO5, relaxed, DFT PBE; values from VASP
&SYSTEM
  ibrav = 0, nat = 16, ntyp = 4
/
ATOMIC_SPECIES
Na 22.99 Na.upf
Ti 47.87 Ti.upf
S 32.06 S.upf
O 16.00 O.upf
CELL_PARAMETERS angstrom
5.592 0.141 -0.010
-1.498 5.390 -0.010
-1.713 -2.313 6.494
ATOMIC_POSITIONS crystal
Na 0.327 0.673 0.250
Na 0.673 0.327 0.750
Ti 0.000 0.000 0.500
Ti 0.000 0.000 0.000
S 0.675 0.325 0.250
S 0.325 0.675 0.750
O 0.071 0.929 0.250
O 0.929 0.071 0.750
O 0.867 0.323 0.136
O 0.133 0.677 0.864
O 0.677 0.133 0.364
O 0.323 0.867 0.636
O 0.740 0.591 0.399
O 0.260 0.409 0.601
O 0.409 0.260 0.101
O 0.591 0.740 0.899
! uncorrected formation energy	-1.9576	eV per atom
! crystal system	monoclinic